# Tb5SmAu4

A geometry-optimized Tb5SmAu4 structure (PBE-GGA, Alexandria).

Structure (POSCAR):
```
Tb5SmAu4
1.0
3.596 0.000 0.000
0.000 3.596 0.000
0.000 0.000 19.712
Tb Sm Au
5 1 4
direct
0.500 0.500 0.131
0.500 0.500 0.314
0.500 0.500 0.500
0.500 0.500 0.686
0.500 0.500 0.869
0.000 0.000 0.000
0.000 0.000 0.220
0.000 0.000 0.407
0.000 0.000 0.593
0.000 0.000 0.780
```

## Properties
The value obtained for the formation enthalpy at 0 K is -674 meV/atom. The electronic total energy is -4.772 eV/atom.